1.
A relaxed KAl2Cl crystal. Source: the Alexandria database, functional PBE-GGA.

Values from the calculation:
E above lowest polymorph   419 meV per atom
Symmetry   Pmmm, No. 47
DOS at the Fermi energy   1.66 states/eV/f.u.
Formation energy from raw total energies   -27 meV/atom

Unit cell a=3.146 b=6.554 c=5.577 alpha=90.00 beta=90.00 gamma=90.00
Atoms (fractional coordinates):
K (0.500, 0.500, 0.750)
Al (0.000, 0.000, 0.002)
Al (0.000, 0.000, 0.498)
Cl (0.500, 0.500, 0.250)

2.
A relaxed Hf2TiSb crystal. Source: the Alexandria database, functional PBE-GGA.

Values from the calculation:
Symmetry   C2/m, No. 12
DOS at the Fermi energy   3.73 states/eV/f.u.
Formation energy from raw total energies   -177 meV/atom

Unit cell a=3.363 b=7.054 c=7.631 alpha=90.81 beta=102.74 gamma=90.01
Atoms (fractional coordinates):
Hf (0.585, 0.703, 0.281)
Hf (0.375, 0.634, 0.861)
Hf (0.608, 0.132, 0.328)
Hf (0.352, 0.205, 0.814)
Ti (0.989, 0.384, 0.088)
Ti (0.971, 0.953, 0.053)
Sb (0.189, 0.437, 0.490)
Sb (0.770, 0.901, 0.652)

3.
A relaxed TlPdSeN2 crystal. Source: the Alexandria database, functional PBE-GGA.

Values from the calculation:
E above lowest polymorph   700 meV per atom
Symmetry   P4/mmm, No. 123
DOS at the Fermi energy   3.27 states/eV/f.u.
Formation energy from raw total energies   1914 meV/atom

Unit cell a=4.203 b=4.203 c=5.933 alpha=90.00 beta=90.00 gamma=90.00
Atoms (fractional coordinates):
N (0.000, 0.500, 0.000)
N (0.500, 0.000, 0.000)
Tl (0.000, 0.000, 0.000)
Se (0.000, 0.000, 0.500)
Pd (0.500, 0.500, 0.500)

4.
A relaxed TlPdPt2 crystal. Source: the Alexandria database, functional PBE-GGA.

Values from the calculation:
Symmetry   I-42d, No. 122
DOS at the Fermi energy   3.06 states/eV/f.u.
ΔH_f (0 K)   49 kJ/mol of formula units

Unit cell a=3.877 b=3.877 c=10.304 alpha=79.16 beta=79.16 gamma=90.00
Atoms (fractional coordinates):
Tl (0.000, 0.000, 0.000)
Tl (0.750, 0.250, 0.500)
Pd (0.500, 0.500, 0.000)
Pd (0.250, 0.750, 0.500)
Pt (0.135, 0.625, 0.250)
Pt (0.615, 0.125, 0.250)
Pt (0.875, 0.865, 0.750)
Pt (0.375, 0.385, 0.750)